[1]
VASP calculation (PBE) on an optimized crystal structure of Y2CdHg.

```
data_Y2CdHg
_chemical_formula_sum 'Y2 Cd1 Hg1'
_space_group_name_H-M_alt 'P 1'
_space_group_IT_number 1
_cell_length_a 5.1844
_cell_length_b 5.1844
_cell_length_c 6.4867
_cell_angle_alpha 101.76
_cell_angle_beta 101.76
_cell_angle_gamma 41.80
loop_
_space_group_symop_operation_xyz
'x,y,z'
loop_
_atom_site_label
_atom_site_type_symbol
_atom_site_fract_x
_atom_site_fract_y
_atom_site_fract_z
_atom_site_occupancy
Y1 Y 0.2481 0.2481 0.2469 1
Y2 Y 0.7519 0.7519 0.7531 1
Cd1 Cd 0.0000 0.0000 0.5000 1
Hg1 Hg 0.5000 0.5000 0.0000 1
```

Calculated values
D(E_F) = 4.136 states/eV/f.u.
magnetization = 0.000 μB/atom
relative energy among the computed polymorphs = 160 meV per atom
space group = C2/m
formation enthalpy at 0 K = -1.09 eV/f.u.

***

[2]
VASP calculation (PBE) on an optimized crystal structure of Mg4S.

```
data_Mg4S
_chemical_formula_sum 'Mg4 S1'
_space_group_name_H-M_alt 'P 1'
_space_group_IT_number 1
_cell_length_a 4.9337
_cell_length_b 4.9337
_cell_length_c 4.9337
_cell_angle_alpha 90.00
_cell_angle_beta 90.00
_cell_angle_gamma 90.00
loop_
_space_group_symop_operation_xyz
'x,y,z'
loop_
_atom_site_label
_atom_site_type_symbol
_atom_site_fract_x
_atom_site_fract_y
_atom_site_fract_z
_atom_site_occupancy
Mg1 Mg 0.0000 0.0000 0.0000 1
Mg2 Mg 0.0000 0.5000 0.5000 1
Mg3 Mg 0.5000 0.0000 0.5000 1
Mg4 Mg 0.5000 0.5000 0.0000 1
S1 S 0.5000 0.5000 0.5000 1
```

Calculated values
D(E_F) = 1.837 states/eV/f.u.
magnetization = 0.000 μB/atom
space group = Pm-3m
energy relative to the elements, uncorrected = -0.152 eV per atom

***

[3]
VASP calculation (PBE) on an optimized crystal structure of HfAl2OsAu.

```
data_HfAl2OsAu
_chemical_formula_sum 'Hf1 Al2 Os1 Au1'
_space_group_name_H-M_alt 'P 1'
_space_group_IT_number 1
_cell_length_a 5.1079
_cell_length_b 5.1079
_cell_length_c 4.9468
_cell_angle_alpha 90.00
_cell_angle_beta 90.00
_cell_angle_gamma 90.00
loop_
_space_group_symop_operation_xyz
'x,y,z'
loop_
_atom_site_label
_atom_site_type_symbol
_atom_site_fract_x
_atom_site_fract_y
_atom_site_fract_z
_atom_site_occupancy
Hf1 Hf 0.0000 0.0000 0.0000 1
Al1 Al 0.0000 0.5000 0.0000 1
Al2 Al 0.5000 0.0000 0.0000 1
Os1 Os 0.5000 0.5000 0.5000 1
Au1 Au 0.0000 0.0000 0.5000 1
```

Calculated values
D(E_F) = 4.684 states/eV/f.u.
magnetization = 0.540 μB/atom
space group = P4/mmm
formation enthalpy at 0 K = 9.40 eV/f.u.